Pr2SeO2 | the Alexandria database | PBE | optimized geometry; crystal system = trigonal; VASP energy = -7.57 eV per atom; magnetization = 0.000 μB/f.u.; energy relative to the elements, uncorrected = -2978.5 meV/atom
1.0
4.054 0.000 0.000
-2.027 3.511 0.000
0.000 0.000 7.125
Pr Se O
2 1 2
direct
0.333 0.667 0.288
0.667 0.333 0.712
0.000 0.000 0.000
0.333 0.667 0.626
0.667 0.333 0.374